Entry 1:
## Ti2TeHI (PBE-GGA)

Data for a relaxed structure of Ti2TeHI.

The space group is P4/mmm (No. 123) and the conventional cell measures 5.448, 5.448 and 3.836 Å, with angles of 90.00, 90.00 and 90.00 degrees. The asymmetric unit holds Ti at (0.000, 0.500, 0.000), Te at (0.000, 0.000, 0.000), H at (0.000, 0.000, 0.500) and I at (0.500, 0.500, 0.500).

As for the raw total energy: -4.35 eV/atom.


Entry 2:
## CrP2OsSe (PBE-GGA)

Data for a relaxed structure of CrP2OsSe.

The space group is P4/mmm (No. 123) and the conventional cell measures 4.314, 4.314 and 4.704 Å, with angles of 90.00, 90.00 and 90.00 degrees. The asymmetric unit holds Cr at (0.000, 0.000, 0.000), P at (0.000, 0.500, 0.000), Os at (0.500, 0.500, 0.500) and Se at (0.000, 0.000, 0.500).

The formation energy from raw total energies is 1.14 eV per atom.